Entry i
Computed, not measured: an optimized crystal structure of NaCoGePb at the PBE level of DFT.

abc: 4.6902 4.6902 4.6902
angles: 60.00 60.00 60.00
Positions (direct):
Pb  0.5000  0.5000  0.5000
Ge  0.0000  0.0000  0.0000
Na  0.7500  0.7500  0.7500
Co  0.2500  0.2500  0.2500

Computed properties:
total magnetic moment = 0.01 μB per formula unit

=====

Entry ii
Computed, not measured: an optimized crystal structure of NaCoGePb at the PBE level of DFT.

abc: 4.8305 4.8305 4.8305
angles: 60.00 60.00 60.00
Positions (direct):
Na  0.7500  0.7500  0.7500
Co  0.5000  0.5000  0.5000
Ge  0.0000  0.0000  0.0000
Pb  0.2500  0.2500  0.2500

Computed properties:
total magnetic moment = 1.69 μB per formula unit

=====

Energy ordering: entry i at the bottom, the next structure 20.1 kJ/mol of atoms above.

=====

Entry i
Computed, not measured: an optimized crystal structure of NbCoGePt at the PBE level of DFT.

abc: 4.3922 4.3922 4.3922
angles: 60.00 60.00 60.00
Each line ends with the local moment (μB).
Positions (direct):
Pt  0.5000  0.5000  0.5000  0.05
Ge  0.0000  0.0000  0.0000  0.03
Nb  0.2500  0.2500  0.2500  0.12
Co  0.7500  0.7500  0.7500  -0.74

Computed properties:
total magnetic moment = 0.49 μB per formula unit

=====

Entry ii
Computed, not measured: an optimized crystal structure of NbCoGePt at the PBE level of DFT.

abc: 4.4058 4.4058 4.4058
angles: 60.00 60.00 60.00
Positions (direct):
Ge  0.0000  0.0000  0.0000
Co  0.7500  0.7500  0.7500
Pt  0.2500  0.2500  0.2500
Nb  0.5000  0.5000  0.5000

Computed properties:
total magnetic moment = 0.02 μB per formula unit

=====

Energy ordering: entry i at the bottom, the next structure 9.7 kJ/mol of atoms above.

=====

Entry i
Computed, not measured: an optimized crystal structure of YNbCoGe at the PBE level of DFT.

abc: 4.6660 4.6660 4.6660
angles: 60.00 60.00 60.00
Positions (direct):
Ge  0.0000  0.0000  0.0000
Y  0.2500  0.2500  0.2500
Nb  0.5000  0.5000  0.5000
Co  0.7500  0.7500  0.7500

Computed properties:
total magnetic moment = 2.92 μB per formula unit

=====

Entry ii
Computed, not measured: an optimized crystal structure of YNbCoGe at the PBE level of DFT.

abc: 4.6297 4.6297 4.6297
angles: 60.00 60.00 60.00
Each line ends with the local moment (μB).
Positions (direct):
Nb  0.2500  0.2500  0.2500  1.84
Ge  0.0000  0.0000  0.0000  -0.01
Co  0.7500  0.7500  0.7500  0.53
Y  0.5000  0.5000  0.5000  0.29

Computed properties:
total magnetic moment = 2.97 μB per formula unit

=====

Energy ordering: entry ii at the bottom, the next structure 13.6 kJ/mol of atoms above.

=====

Entry i
Computed, not measured: an optimized crystal structure of CoNiGeOs at the PBE level of DFT.

abc: 4.1502 4.1502 4.1502
angles: 60.00 60.00 60.00
Positions (direct):
Ni  0.2500  0.2500  0.2500
Os  0.5000  0.5000  0.5000
Co  0.7500  0.7500  0.7500
Ge  0.0000  0.0000  0.0000

Computed properties:
total magnetic moment = 1.77 μB per formula unit

=====

Entry ii
Computed, not measured: an optimized crystal structure of CoNiGeOs at the PBE level of DFT.

abc: 4.1379 4.1379 4.1379
angles: 60.00 60.00 60.00
Positions (direct):
Os  0.2500  0.2500  0.2500
Co  0.7500  0.7500  0.7500
Ni  0.5000  0.5000  0.5000
Ge  0.0000  0.0000  0.0000

Computed properties:
total magnetic moment = 1.96 μB per formula unit

=====

Energy ordering: entry ii at the bottom, the next structure 18.2 kJ/mol of atoms above.

=====

Entry i
Computed, not measured: an optimized crystal structure of CoReNiGe at the PBE level of DFT.

abc: 4.1480 4.1480 4.1480
angles: 60.00 60.00 60.00
Positions (direct):
Co  0.7500  0.7500  0.7500
Re  0.5000  0.5000  0.5000
Ge  0.0000  0.0000  0.0000
Ni  0.2500  0.2500  0.2500

Computed properties:
total magnetic moment = 1.65 μB per formula unit

=====

Entry ii
Computed, not measured: an optimized crystal structure of CoReNiGe at the PBE level of DFT.

abc: 4.1429 4.1429 4.1429
angles: 60.00 60.00 60.00
Positions (direct):
Ni  0.5000  0.5000  0.5000
Co  0.7500  0.7500  0.7500
Re  0.2500  0.2500  0.2500
Ge  0.0000  0.0000  0.0000

Computed properties:
total magnetic moment = 0.99 μB per formula unit

=====

Energy ordering: entry ii at the bottom, the next structure 12.2 kJ/mol of atoms above.

=====

Entry i
Computed, not measured: an optimized crystal structure of CoNiGeSe3 at the PBE level of DFT.

abc: 6.5918 6.5918 9.6961
angles: 90.00 90.00 149.45
Positions (direct):
Ni  0.6486  0.3514  0.2500
Ni  0.3514  0.6486  0.7500
Se  0.3727  0.6273  0.9972
Se  0.6273  0.3727  0.4972
Se  0.0144  0.9856  0.2500
Se  0.6273  0.3727  0.0028
Se  0.9856  0.0144  0.7500
Se  0.3727  0.6273  0.5028
Ge  0.2790  0.7210  0.2500
Ge  0.7210  0.2790  0.7500
Co  0.0000  0.0000  0.0000
Co  0.0000  0.0000  0.5000

Computed properties:
total magnetic moment = 0.00 μB per formula unit

=====

Entry ii
Computed, not measured: an optimized crystal structure of CoNiGeSe3 at the PBE level of DFT.

abc: 3.5284 6.5171 10.0367
angles: 90.00 90.00 74.29
Each line ends with the local moment (μB).
Positions (direct):
Ge  0.7947  0.4105  0.7500  0.00
Ge  0.2053  0.5895  0.2500  0.00
Se  0.6309  0.7382  0.0415  0.00
Se  0.6309  0.7382  0.4585  0.00
Se  0.3691  0.2618  0.9585  0.00
Se  0.3691  0.2618  0.5415  0.00
Se  0.9329  0.1342  0.2500  0.00
Se  0.0671  0.8658  0.7500  0.00
Ni  0.0000  0.0000  0.0000  -0.01
Ni  0.0000  0.0000  0.5000  -0.01
Co  0.5501  0.8998  0.2500  0.06
Co  0.4499  0.1002  0.7500  0.06

Computed properties:
total magnetic moment = 0.05 μB per formula unit

=====

Energy ordering: entry i at the bottom, the next structure 10.7 kJ/mol of atoms above.

=====

Entry i
Computed, not measured: an optimized crystal structure of ZnCoNiGe at the PBE level of DFT.

abc: 4.0898 4.0898 4.0898
angles: 60.00 60.00 60.00
Each line ends with the local moment (μB).
Positions (direct):
Ge  0.0000  0.0000  0.0000  0.00
Co  0.2500  0.2500  0.2500  0.62
Ni  0.7500  0.7500  0.7500  0.18
Zn  0.5000  0.5000  0.5000  -0.01

Computed properties:
total magnetic moment = 0.79 μB per formula unit

=====

Entry ii
Computed, not measured: an optimized crystal structure of ZnCoNiGe at the PBE level of DFT.

abc: 4.1162 4.1162 4.1162
angles: 60.00 60.00 60.00
Each line ends with the local moment (μB).
Positions (direct):
Ni  0.5000  0.5000  0.5000  0.01
Co  0.2500  0.2500  0.2500  0.14
Zn  0.7500  0.7500  0.7500  0.00
Ge  0.0000  0.0000  0.0000  -0.01

Computed properties:
total magnetic moment = 0.15 μB per formula unit

=====

Energy ordering: entry i at the bottom, the next structure 21.1 kJ/mol of atoms above.